# 1
## Sm4AlCd2 (PBE)

Data for a relaxed structure of Sm4AlCd2.

Structure (extended XYZ):
```
7
Lattice="-0.7425 -3.8168 -3.5697 3.5967 -3.8220 -0.5641 -3.0998 -7.2207 4.4627" Properties=species:S:1:pos:R:3 pbc="T T T"
Sm -1.5545 -5.4377 2.2348
Al 0.0000 0.0000 0.0000
Sm 1.3443 -5.7370 -1.9507
Sm -1.5899 -9.1225 2.2795
Cd -0.2277 -11.1948 0.3094
Cd -0.0179 -3.6647 0.0195
Sm 1.3089 -9.4219 -1.9060
```

* uncorrected energy: -3.66 eV/atom
* energy of formation: -0.163 eV/atom

---

# 2
## Sm3Al4Cd2 (PBE)

Data for a relaxed structure of Sm3Al4Cd2.

Structure (extended XYZ):
```
9
Lattice="4.6892 0.0000 0.0000 -2.3446 5.1915 -1.8374 0.0000 -0.6399 8.8972" Properties=species:S:1:pos:R:3 pbc="T T T"
Cd 0.0000 3.5308 4.9819
Al 2.3446 2.3661 -0.3130
Sm 2.3446 1.2835 5.3479
Al 0.0000 2.1855 7.3728
Cd 2.3446 1.0208 2.0778
Sm 0.0000 0.0000 0.0000
Sm 0.0000 3.2681 1.7119
Al 2.3446 4.2888 3.8023
Al 0.0000 0.2628 3.2575
```

* uncorrected energy: -3.86 eV/atom
* energy of formation: -0.416 eV/atom

---

# 3
## Sm3Al2Cd2 (PBE)

Data for a relaxed structure of Sm3Al2Cd2.

Structure (extended XYZ):
```
7
Lattice="4.4195 0.0000 0.5865 0.0000 3.6105 0.0000 0.7501 0.0000 11.2916" Properties=species:S:1:pos:R:3 pbc="T T T"
Sm 0.0000 0.0000 0.0000
Cd 3.1962 1.8052 9.8041
Sm 3.9460 0.0000 4.1542
Al 1.5714 1.8052 5.1031
Al 3.5982 1.8052 6.7750
Cd 1.9734 1.8052 2.0740
Sm 1.2236 0.0000 7.7239
```

* uncorrected energy: -3.71 eV/atom
* energy of formation: -0.362 eV/atom

---

# 4
## Sm5Al2Cd2 (PBE)

Data for a relaxed structure of Sm5Al2Cd2.

Structure (extended XYZ):
```
18
Lattice="7.7883 0.0000 0.0000 0.0000 7.9248 0.0000 0.0000 -3.9624 8.4239" Properties=species:S:1:pos:R:3 pbc="T T T"
Sm 3.8941 3.9624 0.0000
Cd 3.8941 0.0000 4.7259
Sm 2.4984 2.4753 6.1900
Sm 1.3958 2.4753 2.2339
Sm 5.2899 -2.4753 6.1900
Al 6.8840 3.0376 0.0000
Al 0.9042 4.8872 0.0000
Sm 5.2899 1.4871 2.2339
Sm 2.4984 6.4377 2.2339
Al 4.7983 6.9999 0.0000
Cd 0.0000 0.0000 3.6980
Sm 6.3925 5.4495 2.2339
Al 2.9899 0.9248 0.0000
Sm 6.3925 1.4871 6.1900
Sm 1.3958 -1.4871 6.1900
Sm 0.0000 0.0000 0.0000
Cd 0.0000 3.9624 4.7259
Cd 3.8941 3.9624 3.6980
```

* uncorrected energy: -3.91 eV/atom
* energy of formation: -0.255 eV/atom

---

# 5
## Sm3Al2Cd3 (PBE)

Data for a relaxed structure of Sm3Al2Cd3.

Structure (extended XYZ):
```
16
Lattice="4.6789 0.0000 0.0000 -2.3394 5.5755 0.0000 0.0000 0.0000 15.6003" Properties=species:S:1:pos:R:3 pbc="T T T"
Al 2.3394 3.2975 13.9622
Al 0.0000 2.2780 6.1620
Al 0.0000 2.2780 1.6382
Sm 2.3395 1.5078 3.9001
Sm 0.0000 0.9881 13.9075
Cd 0.0000 4.2283 8.3635
Sm 0.0000 0.9881 9.4930
Sm 2.3394 4.5874 6.1074
Cd 0.0000 4.2283 15.0370
Al 2.3394 3.2975 9.4383
Cd 0.0000 3.8701 3.9001
Cd 2.3394 1.3472 7.2368
Cd 2.3394 1.7054 11.7003
Cd 2.3394 1.3472 0.5634
Sm 2.3394 4.5874 1.6928
Sm 0.0000 4.0678 11.7003
```

* uncorrected energy: -3.38 eV/atom
* energy of formation: -0.333 eV/atom

---

# 6
## Sm6Al2Cd (PBE)

Data for a relaxed structure of Sm6Al2Cd.

Structure (extended XYZ):
```
9
Lattice="-3.8196 1.0573 3.2535 1.9714 -5.7576 4.1855 5.6263 6.9217 0.3543" Properties=species:S:1:pos:R:3 pbc="T T T"
Sm -0.4470 -3.7434 4.7323
Sm 3.0609 -2.7579 4.5020
Sm 0.7172 4.9792 3.2913
Sm -1.4011 -0.9569 2.7067
Cd 0.0000 0.0000 0.0000
Al 3.1259 3.0401 2.7097
Al 0.6523 -0.8188 5.0836
Sm 2.0868 0.0871 2.4338
Sm 1.6914 2.1342 5.3595
```

* uncorrected energy: -4.06 eV/atom
* energy relative to the lowest polymorph listed for this composition: 228 meV/atom
* energy of formation: 0.016 eV/atom

---

# 7
## Sm4AlCd3 (PBE)

Data for a relaxed structure of Sm4AlCd3.

Structure (extended XYZ):
```
8
Lattice="-3.5523 0.6939 0.9476 -1.0944 -0.8596 -3.4730 -1.7633 -14.7810 4.2140" Properties=species:S:1:pos:R:3 pbc="T T T"
Sm -0.6558 -5.4971 1.5672
Cd -3.6545 -11.2414 1.9186
Sm -0.2051 -1.7196 0.4902
Sm -1.1075 -9.2839 2.6468
Cd -3.2050 -7.4733 0.8443
Cd -2.7555 -3.7052 -0.2299
Al -2.3233 -0.0828 -1.2627
Sm -1.5581 -13.0614 3.7238
```

* uncorrected energy: -3.50 eV/atom
* energy relative to the lowest polymorph listed for this composition: 0 meV/atom
* energy of formation: -0.330 eV/atom

---

# 8
## Sm2AlCd (PBE)

Data for a relaxed structure of Sm2AlCd.

Structure (extended XYZ):
```
4
Lattice="3.5659 0.0000 0.0000 0.0000 3.5659 0.0000 0.0000 0.0000 8.2363" Properties=species:S:1:pos:R:3 pbc="T T T"
Sm 0.0000 0.0000 6.2894
Sm 0.0000 0.0000 1.9469
Al 1.7830 1.7830 0.0000
Cd 1.7830 1.7830 4.1182
```

* uncorrected energy: -3.88 eV/atom
* energy relative to the lowest polymorph listed for this composition: 0 meV/atom
* energy of formation: -0.354 eV/atom

---

# 9
## Sm3Al3Cd (PBE)

Data for a relaxed structure of Sm3Al3Cd.

Structure (extended XYZ):
```
14
Lattice="-4.5856 -0.6703 -0.0619 -2.0633 -1.3967 -5.5363 -0.3295 -13.9371 1.8110" Properties=species:S:1:pos:R:3 pbc="T T T"
Al -5.6442 -9.1867 -2.9302
Cd -3.1911 -9.8552 -3.9067
Al -1.3341 -6.8174 -0.8571
Sm -3.6827 -6.5595 -3.1735
Sm -5.1700 -12.4529 -2.6895
Al -0.7451 -10.9742 0.5215
Sm -1.8083 -3.5512 -1.0978
Sm -4.2620 -2.5314 -3.8791
Cd -3.7872 -6.1489 0.1194
Al -4.4125 -1.7934 -0.7254
Al -2.5658 -14.2108 -3.0619
Sm -3.2956 -9.4446 -0.6138
Al -6.2332 -5.0299 -4.3088
Sm -2.7163 -13.4728 0.0918
```

* uncorrected energy: -4.13 eV/atom
* energy of formation: -0.374 eV/atom

---

# 10
## Sm2AlCd (PBE)

Data for a relaxed structure of Sm2AlCd.

Structure (extended XYZ):
```
4
Lattice="-1.5800 -5.0627 0.2990 -0.1699 -2.9927 -4.3853 3.5161 -3.9239 -0.6756" Properties=species:S:1:pos:R:3 pbc="T T T"
Sm 1.3246 -8.9844 -3.5714
Al 0.8831 -5.9896 -2.3809
Cd 0.0000 0.0000 0.0000
Sm 0.4415 -2.9948 -1.1905
```

* uncorrected energy: -3.87 eV/atom
* energy relative to the lowest polymorph listed for this composition: 12 meV/atom
* energy of formation: -0.342 eV/atom

---

# 11
## Sm6Al3Cd (PBE)

Data for a relaxed structure of Sm6Al3Cd.

Structure (extended XYZ):
```
20
Lattice="5.2100 0.0000 0.0000 0.0000 8.9550 -2.8977 0.0000 0.0749 11.5734" Properties=species:S:1:pos:R:3 pbc="T T T"
Al 1.3025 4.8180 2.8134
Sm 3.9075 8.0486 -1.1708
Al 3.9075 4.2118 5.8623
Sm 1.3025 2.4258 5.0710
Sm 1.3025 5.9353 5.9431
Sm 3.9075 1.6137 7.6732
Cd 3.9075 0.3933 4.6333
Al 3.9075 2.0411 -0.3445
Sm 1.3025 7.4162 1.0025
Cd 1.3025 8.6365 4.0423
Al 1.3025 3.4989 7.9909
Al 3.9075 5.5310 0.6848
Al 1.3025 6.9888 9.0202
Sm 3.9075 3.0946 2.7325
Sm 3.9075 7.8937 7.2781
Sm 1.3025 1.1362 1.3976
Sm 1.3025 0.9813 9.8465
Sm 3.9075 6.6040 3.6047
Sm 1.3025 4.0770 -0.3286
Sm 3.9075 4.9528 9.0043
```

* uncorrected energy: -4.31 eV/atom
* energy of formation: -0.268 eV/atom

---

# 12
## Sm2AlCd3 (PBE)

Data for a relaxed structure of Sm2AlCd3.

Structure (extended XYZ):
```
12
Lattice="-4.9958 3.4128 -0.4725 -3.9776 -2.0475 4.1007 7.6311 4.7155 3.9311" Properties=species:S:1:pos:R:3 pbc="T T T"
Al 2.0990 3.6035 3.8352
Sm -4.2288 -0.7003 2.9724
Cd -1.7585 1.2618 1.8981
Sm -4.7446 2.0656 0.6558
Cd -6.1510 1.9301 3.6741
Cd 4.8086 4.1508 3.8852
Al -3.4414 2.4773 3.7241
Sm -0.4166 1.6754 4.9230
Cd 0.4161 4.8191 5.6613
Cd 1.0673 1.8323 1.9500
Cd -2.4096 4.2486 5.6093
Sm -0.9258 4.4055 2.6364
```

* uncorrected energy: -3.00 eV/atom
* energy of formation: -0.350 eV/atom